# LiPa4TlN8 | the Alexandria database | PBE | relaxed
data_LiPa4TlN8
_cell_length_a 7.1538
_cell_length_b 7.1538
_cell_length_c 14.7978
_cell_angle_alpha 90.00
_cell_angle_beta 90.00
_cell_angle_gamma 120.00
_symmetry_space_group_name_H-M 'R 3 m'
_symmetry_Int_Tables_number 160
_symmetry_space_group_name_Hall 'R 3 -2"'
loop_
_atom_site_label
_atom_site_type_symbol
_atom_site_fract_x
_atom_site_fract_y
_atom_site_fract_z
Li1 Li 0.0000 0.0000 0.0000
Pa1 Pa 0.0000 0.0000 0.5988
Pa2 Pa 0.0028 0.5014 0.5061
Tl1 Tl 0.0000 0.0000 0.3851
N1 N 0.0000 0.0000 0.2404
N2 N 0.0000 0.0000 0.7577
N3 N 0.0003 0.5002 0.7849
N4 N 0.1798 0.3597 0.5886
# Electronic total energy = -8.8607 eV per atom
# Formation energy from raw total energies = -1.085 eV per atom